[1]
A plane-wave DFT calculation with GGA-PBE was carried out for a geometry-optimized Cs2Pa2ReN6 structure.

Properties
**Formation energy from raw total energies**: -67.9 kJ/mol of atoms

abc: 5.8975 5.8975 7.3369
angles: 96.25 96.25 119.85
Atoms (fractional coordinates):
1 Cs 0.8365 0.1635 0.0000
2 Cs 0.1635 0.8365 0.0000
3 Pa 0.3347 0.6653 0.5000
4 Pa 0.6653 0.3347 0.5000
5 Re 0.0000 0.0000 0.5000
6 N 0.7393 0.7393 0.6446
7 N 0.0392 0.3499 0.6404
8 N 0.2607 0.2607 0.3554
9 N 0.3499 0.0392 0.6404
10 N 0.9608 0.6501 0.3596
11 N 0.6501 0.9608 0.3596

[2]
A plane-wave DFT calculation with GGA-PBE was carried out for a geometry-optimized PmCo2Sn2 structure.

Properties
**Formation energy**: -0.32 eV per atom

abc: 4.3243 4.5190 10.1861
angles: 95.13 90.00 90.00
Atoms (fractional coordinates):
1 Pm 0.2500 0.7072 0.2486
2 Pm 0.7500 0.2928 0.7514
3 Co 0.2500 0.7823 0.6329
4 Co 0.7500 0.2177 0.3671
5 Co 0.2500 0.3632 0.0009
6 Co 0.7500 0.6368 0.9991
7 Sn 0.2500 0.8294 0.8800
8 Sn 0.7500 0.1706 0.1200
9 Sn 0.2500 0.2542 0.5019
10 Sn 0.7500 0.7458 0.4981

[3]
A plane-wave DFT calculation with GGA-PBE was carried out for a geometry-optimized BaSrAg2 structure.

Properties
**Formation energy**: 0.00 eV per atom
**Relative energy among the computed polymorphs**: 0.280 eV per atom

abc: 8.7316 8.7316 7.3535
angles: 53.58 53.58 90.00
Atoms (fractional coordinates):
1 Sr 0.5000 0.5000 0.0000
2 Sr 0.2500 0.7500 0.5000
3 Ba 0.0000 0.0000 0.0000
4 Ba 0.7500 0.2500 0.5000
5 Ag 0.6107 0.1250 0.2500
6 Ag 0.1393 0.6250 0.2500
7 Ag 0.3750 0.3893 0.7500
8 Ag 0.8750 0.8607 0.7500

[4]
A plane-wave DFT calculation with GGA-PBE was carried out for a geometry-optimized CsNdMgSe3 structure.

Properties
**Formation energy from raw total energies**: -151.2 kJ/mol of atoms

abc: 4.3949 9.8229 10.5352
angles: 109.42 90.00 90.00
Atoms (fractional coordinates):
1 Cs 0.7500 0.7893 0.7648
2 Cs 0.2500 0.2107 0.2352
3 Nd 0.2500 0.6679 0.1353
4 Nd 0.7500 0.3321 0.8647
5 Mg 0.2500 0.0839 0.6098
6 Mg 0.7500 0.9161 0.3902
7 Se 0.2500 0.8101 0.4562
8 Se 0.7500 0.8776 0.1396
9 Se 0.7500 0.4719 0.1548
10 Se 0.7500 0.1899 0.5438
11 Se 0.2500 0.5281 0.8452
12 Se 0.2500 0.1224 0.8604

[5]
A plane-wave DFT calculation with GGA-PBE was carried out for a geometry-optimized CdIn2Pb8 structure.

Properties
**Formation energy**: 0.11 eV per atom
**Relative energy among the computed polymorphs**: 0.087 eV per atom

abc: 5.8796 8.3290 8.3290
angles: 65.30 78.57 78.57
Atoms (fractional coordinates):
1 Cd 0.0000 0.0000 0.0000
2 In 0.5001 0.1187 0.1187
3 In 0.4999 0.8813 0.8813
4 Pb 0.7878 0.2202 0.6384
5 Pb 0.2122 0.3616 0.7798
6 Pb 0.9366 0.2317 0.2317
7 Pb 0.0634 0.7683 0.7683
8 Pb 0.7878 0.6384 0.2202
9 Pb 0.2122 0.7798 0.3616
10 Pb 0.3442 0.3652 0.3652
11 Pb 0.6558 0.6348 0.6348

[6]
A plane-wave DFT calculation with GGA-PBE was carried out for a geometry-optimized CsMgI2Cl structure.

Properties
**Relative energy among the computed polymorphs**: 0.000 eV per atom
**Formation energy from raw total energies**: -138.6 kJ/mol of atoms

abc: 4.5196 9.5559 9.6826
angles: 104.44 90.00 90.00
Atoms (fractional coordinates):
1 Cs 0.2500 0.6689 0.3397
2 Cs 0.7500 0.3311 0.6603
3 Mg 0.2500 0.8556 0.8206
4 Mg 0.7500 0.1444 0.1794
5 I 0.7500 0.9130 0.6424
6 I 0.7500 0.8304 0.0320
7 I 0.2500 0.0870 0.3576
8 I 0.2500 0.1696 0.9680
9 Cl 0.2500 0.6035 0.7105
10 Cl 0.7500 0.3965 0.2895